DFT (PBE-GGA) results for HfPtBr2 after structural relaxation.

a = 9.1709 Å, b = 9.1709 Å, c = 9.1709 Å
α = 20.91°, β = 20.91°, γ = 20.91°
Closest atoms and distances in Å follow each position.
Sites, in units of the cell vectors:
1 Hf 0.5000 0.5000 0.5000  6 Br 2.74
2 Br 0.9059 0.9059 0.9059  1 Pt 2.53, 3 Hf 2.74
3 Br 0.0941 0.0941 0.0941  1 Pt 2.53, 3 Hf 2.74
4 Pt 0.0000 0.0000 0.0000  2 Br 2.53

Properties
Raw formation energy   -189 meV/atom
Symmetry   R-3m (166)

DFT (PBE-GGA) results for HfPtBr2 after structural relaxation.

a = 4.8038 Å, b = 4.8038 Å, c = 4.8038 Å
α = 60.00°, β = 60.00°, γ = 60.00°
Closest atoms and distances in Å follow each position.
Sites, in units of the cell vectors:
1 Hf 0.0000 0.0000 0.0000  8 Br 2.94
2 Br 0.2500 0.2500 0.2500  4 Pt 2.94, 4 Hf 2.94
3 Br 0.7500 0.7500 0.7500  4 Hf 2.94, 4 Pt 2.94
4 Pt 0.5000 0.5000 0.5000  8 Br 2.94

Properties
Raw formation energy   110 meV/atom
Symmetry   Fm-3m (225)

DFT (PBE-GGA) results for HfPt3Br after structural relaxation.

a = 5.0066 Å, b = 5.0066 Å, c = 5.0066 Å
α = 90.00°, β = 90.00°, γ = 90.00°
Closest atoms and distances in Å follow each position.
Sites, in units of the cell vectors:
1 Hf 0.0000 0.0000 0.0000  6 Pt 2.50
2 Br 0.5000 0.5000 0.5000  12 Pt 3.54
3 Pt 0.0000 0.5000 0.0000  2 Hf 2.50
4 Pt 0.0000 0.0000 0.5000  2 Hf 2.50
5 Pt 0.5000 0.0000 0.0000  2 Hf 2.50

Properties
Raw formation energy   796 meV/atom
Symmetry   Pm-3m (221)

DFT (PBE-GGA) results for HfPtBr3 after structural relaxation.

a = 5.1299 Å, b = 5.1299 Å, c = 5.1299 Å
α = 90.00°, β = 90.00°, γ = 90.00°
Closest atoms and distances in Å follow each position.
Sites, in units of the cell vectors:
1 Hf 0.5000 0.5000 0.5000  12 Br 3.63
2 Br 0.0000 0.5000 0.0000  2 Pt 2.56
3 Br 0.0000 0.0000 0.5000  2 Pt 2.56
4 Br 0.5000 0.0000 0.0000  2 Pt 2.56
5 Pt 0.0000 0.0000 0.0000  6 Br 2.56

Properties
Raw formation energy   544 meV/atom
Symmetry   Pm-3m (221)